Here is a relaxed structure of PrSm3Dy6Th2 from Alexandria. Energies are from PBE. Values from VASP.

VASP energy, eV per atom: -5.09
D(E_F), states/eV/f.u.: 15.90
Spin magnetization, μB per atom: 0.0000

Cell and atoms, written as Quantum ESPRESSO input:
```
&SYSTEM
  ibrav = 0, nat = 12, ntyp = 4
/
ATOMIC_SPECIES
Pr 140.91 Pr.upf
Sm 150.36 Sm.upf
Dy 162.50 Dy.upf
Th 232.04 Th.upf
CELL_PARAMETERS angstrom
3.116 -5.394 0.000
3.116 5.394 0.000
-2.080 0.000 11.592
ATOMIC_POSITIONS angstrom
Pr 0.000 0.000 0.000
Sm 2.076 3.601 5.796
Sm 2.076 0.000 5.796
Sm 2.076 -3.601 5.796
Dy 1.056 1.825 2.861
Dy 0.027 0.000 8.729
Dy 1.056 -1.825 2.861
Dy 3.095 1.825 8.731
Dy 4.124 0.000 2.863
Dy 3.095 -1.825 8.731
Th 3.116 1.798 0.000
Th 3.116 -1.798 0.000
```

---

Here is a relaxed structure of PrSm6Dy3Th2 from Alexandria. Energies are from PBE. Values from VASP.

VASP energy, eV per atom: -5.10
D(E_F), states/eV/f.u.: 17.56
Spin magnetization, μB per atom: 0.0000

Cell and atoms, written as Quantum ESPRESSO input:
```
&SYSTEM
  ibrav = 0, nat = 12, ntyp = 4
/
ATOMIC_SPECIES
Pr 140.91 Pr.upf
Sm 150.36 Sm.upf
Dy 162.50 Dy.upf
Th 232.04 Th.upf
CELL_PARAMETERS angstrom
3.128 -5.410 0.000
3.128 5.410 0.000
-2.086 0.000 11.777
ATOMIC_POSITIONS angstrom
Pr 0.000 0.000 0.000
Sm 1.062 1.831 2.935
Sm 0.030 0.000 8.839
Sm 1.062 -1.831 2.935
Sm 3.108 1.831 8.842
Sm 4.141 0.000 2.938
Sm 3.108 -1.831 8.842
Dy 2.085 3.607 5.889
Dy 2.085 0.000 5.889
Dy 2.085 -3.607 5.889
Th 3.128 1.803 0.000
Th 3.128 -1.803 0.000
```

---

Here is a relaxed structure of Pr2Sm3Dy6Th from Alexandria. Energies are from PBE. Values from VASP.

VASP energy, eV per atom: -4.87
D(E_F), states/eV/f.u.: 14.80
Spin magnetization, μB per atom: 0.0000

Cell and atoms, written as Quantum ESPRESSO input:
```
&SYSTEM
  ibrav = 0, nat = 12, ntyp = 4
/
ATOMIC_SPECIES
Pr 140.91 Pr.upf
Sm 150.36 Sm.upf
Dy 162.50 Dy.upf
Th 232.04 Th.upf
CELL_PARAMETERS angstrom
3.126 -5.409 0.000
3.126 5.409 0.000
-2.079 0.000 11.643
ATOMIC_POSITIONS angstrom
Pr 3.126 3.608 0.000
Pr 3.126 -3.608 0.000
Sm -1.039 0.000 5.822
Sm 2.086 1.808 5.822
Sm 2.086 -1.808 5.822
Dy 0.014 1.781 8.737
Dy 1.073 0.000 2.907
Dy 0.014 -1.781 8.737
Dy 4.159 1.781 2.906
Dy 3.100 0.000 8.736
Dy 4.159 -1.781 2.906
Th 3.126 0.000 0.000
```

---

Here is a relaxed structure of Pr2SmDyTh from Alexandria. Energies are from PBE. Values from VASP.

VASP energy, eV per atom: -4.94
D(E_F), states/eV/f.u.: 7.35
Spin magnetization, μB per atom: 0.0000

Cell and atoms, written as Quantum ESPRESSO input:
```
&SYSTEM
  ibrav = 0, nat = 10, ntyp = 4
/
ATOMIC_SPECIES
Pr 140.91 Pr.upf
Sm 150.36 Sm.upf
Dy 162.50 Dy.upf
Th 232.04 Th.upf
CELL_PARAMETERS angstrom
8.613 0.000 0.000
0.000 6.476 0.000
-0.384 0.000 6.365
ATOMIC_POSITIONS angstrom
Pr 1.526 1.308 1.712
Pr 1.334 5.167 4.894
Pr 6.895 1.308 1.471
Pr 6.703 5.167 4.654
Sm 4.019 0.330 4.774
Sm 4.211 6.145 1.591
Dy -0.288 2.108 4.774
Dy -0.096 4.368 1.591
Th 4.307 3.238 0.000
Th 4.115 3.238 3.183
```

---

Here is a relaxed structure of Pr5Sm2DyTh from Alexandria. Energies are from PBE. Values from VASP.

VASP energy, eV per atom: -4.90
D(E_F), states/eV/f.u.: 12.50
Spin magnetization, μB per atom: 0.0000

Cell and atoms, written as Quantum ESPRESSO input:
```
&SYSTEM
  ibrav = 0, nat = 18, ntyp = 4
/
ATOMIC_SPECIES
Pr 140.91 Pr.upf
Sm 150.36 Sm.upf
Dy 162.50 Dy.upf
Th 232.04 Th.upf
CELL_PARAMETERS angstrom
2.740 -11.038 0.000
2.740 11.038 0.000
0.000 0.000 10.643
ATOMIC_POSITIONS angstrom
Pr 0.000 0.000 0.000
Pr 0.000 0.000 5.322
Pr 2.740 8.223 7.983
Pr 2.740 6.121 0.620
Pr 2.740 6.121 4.701
Pr 2.740 0.048 2.661
Pr 2.740 -0.048 7.983
Pr 2.740 -6.121 5.942
Pr 2.740 -6.121 10.023
Pr 2.740 -8.223 2.661
Sm 2.740 2.491 5.378
Sm 2.740 2.491 10.587
Sm 2.740 -2.491 0.056
Sm 2.740 -2.491 5.266
Dy 2.740 8.781 2.661
Dy 2.740 -8.781 7.983
Th 2.740 4.679 7.983
Th 2.740 -4.679 2.661
```

---

Here is a relaxed structure of Pr5SmDy2Th from Alexandria. Energies are from PBE. Values from VASP.

VASP energy, eV per atom: -4.87
D(E_F), states/eV/f.u.: 13.43
Spin magnetization, μB per atom: 0.0000

Cell and atoms, written as Quantum ESPRESSO input:
```
&SYSTEM
  ibrav = 0, nat = 18, ntyp = 4
/
ATOMIC_SPECIES
Pr 140.91 Pr.upf
Sm 150.36 Sm.upf
Dy 162.50 Dy.upf
Th 232.04 Th.upf
CELL_PARAMETERS angstrom
2.864 -10.356 0.000
2.864 10.356 0.000
0.000 0.000 10.671
ATOMIC_POSITIONS angstrom
Pr 2.864 10.056 5.335
Pr 2.864 4.632 8.475
Pr 2.864 4.302 1.970
Pr 2.864 2.380 5.401
Pr 2.864 0.393 2.402
Pr 2.864 -0.393 7.738
Pr 2.864 -2.380 0.065
Pr 2.864 -4.302 7.306
Pr 2.864 -4.632 3.140
Pr 2.864 -10.056 0.000
Sm 2.864 1.934 9.986
Sm 2.864 -1.934 4.651
Dy 2.864 8.012 2.328
Dy 2.864 7.957 8.465
Dy 2.864 -7.957 3.130
Dy 2.864 -8.012 7.663
Th 2.864 6.235 5.254
Th 2.864 -6.235 10.589
```

---

Here is a relaxed structure of PrSm4Dy2Th from Alexandria. Energies are from PBE. Values from VASP.

VASP energy, eV per atom: -5.01
D(E_F), states/eV/f.u.: 11.07
Spin magnetization, μB per atom: 0.0000

Cell and atoms, written as Quantum ESPRESSO input:
```
&SYSTEM
  ibrav = 0, nat = 8, ntyp = 4
/
ATOMIC_SPECIES
Pr 140.91 Pr.upf
Sm 150.36 Sm.upf
Dy 162.50 Dy.upf
Th 232.04 Th.upf
CELL_PARAMETERS angstrom
5.102 0.000 0.000
0.000 5.107 0.000
0.000 0.000 10.240
ATOMIC_POSITIONS angstrom
Pr 0.000 0.000 0.000
Sm 0.000 2.554 2.604
Sm 0.000 2.554 7.636
Sm 2.551 0.000 2.615
Sm 2.551 0.000 7.625
Dy 0.000 0.000 5.120
Dy 2.551 2.554 0.000
Th 2.551 2.554 5.120
```

---

Here is a relaxed structure of PrSmDyTh from Alexandria. Energies are from PBE. Values from VASP.

VASP energy, eV per atom: -5.22
D(E_F), states/eV/f.u.: 8.25
Polymorph energy (0 for the lowest one), meV per atom: 139.0
Spin magnetization, μB per atom: 0.0000

Cell and atoms, written as Quantum ESPRESSO input:
```
&SYSTEM
  ibrav = 0, nat = 16, ntyp = 4
/
ATOMIC_SPECIES
Pr 140.91 Pr.upf
Sm 150.36 Sm.upf
Dy 162.50 Dy.upf
Th 232.04 Th.upf
CELL_PARAMETERS angstrom
8.119 0.000 0.000
0.000 8.119 0.000
0.000 0.000 8.119
ATOMIC_POSITIONS angstrom
Pr 0.000 0.000 0.000
Pr 0.000 4.060 4.060
Pr 4.060 0.000 4.060
Pr 4.060 4.060 0.000
Sm 2.030 2.030 2.030
Sm 2.030 6.089 6.089
Sm 6.089 2.030 6.089
Sm 6.089 6.089 2.030
Dy 2.030 2.030 6.089
Dy 2.030 6.089 2.030
Dy 6.089 2.030 2.030
Dy 6.089 6.089 6.089
Th 0.000 0.000 4.060
Th 0.000 4.060 0.000
Th 4.060 0.000 0.000
Th 4.060 4.060 4.060
```

---

Here is a relaxed structure of PrSmDy3Th from Alexandria. Energies are from PBE. Values from VASP.

VASP energy, eV per atom: -4.91
D(E_F), states/eV/f.u.: 8.36
Spin magnetization, μB per atom: 0.0000

Cell and atoms, written as Quantum ESPRESSO input:
```
&SYSTEM
  ibrav = 0, nat = 12, ntyp = 4
/
ATOMIC_SPECIES
Pr 140.91 Pr.upf
Sm 150.36 Sm.upf
Dy 162.50 Dy.upf
Th 232.04 Th.upf
CELL_PARAMETERS angstrom
9.959 -2.822 0.000
9.959 2.822 0.000
-0.075 0.000 7.062
ATOMIC_POSITIONS angstrom
Pr 2.871 0.000 3.236
Pr 16.971 0.000 3.826
Sm 2.960 0.000 0.242
Sm 16.882 0.000 6.820
Dy 0.400 0.000 5.319
Dy 5.502 0.000 5.274
Dy 6.798 0.000 1.726
Dy 13.044 0.000 5.337
Dy 14.341 0.000 1.788
Dy 19.443 0.000 1.743
Th 8.814 0.000 5.443
Th 11.029 0.000 1.620
```

---

Here is a relaxed structure of PrSm6Dy2Th from Alexandria. Energies are from PBE. Values from VASP.

VASP energy, eV per atom: -4.83
D(E_F), states/eV/f.u.: 14.66
Spin magnetization, μB per atom: 0.0000

Cell and atoms, written as Quantum ESPRESSO input:
```
&SYSTEM
  ibrav = 0, nat = 20, ntyp = 4
/
ATOMIC_SPECIES
Pr 140.91 Pr.upf
Sm 150.36 Sm.upf
Dy 162.50 Dy.upf
Th 232.04 Th.upf
CELL_PARAMETERS angstrom
4.678 -7.502 0.000
4.678 7.502 0.000
-1.305 0.000 9.650
ATOMIC_POSITIONS angstrom
Pr 3.699 6.062 7.238
Pr 4.352 -6.062 2.413
Sm 3.298 5.878 3.681
Sm 2.553 3.317 1.766
Sm 5.405 5.878 1.145
Sm 3.332 2.626 5.393
Sm 4.066 2.626 9.083
Sm 6.150 3.317 3.059
Sm 1.900 -3.317 6.592
Sm 3.984 -2.626 0.567
Sm 4.719 -2.626 4.258
Sm 2.645 -5.878 8.506
Sm 5.498 -3.317 7.884
Sm 4.753 -5.878 5.970
Dy 1.169 0.687 9.160
Dy 1.821 -0.687 4.334
Dy 6.229 0.687 5.316
Dy 6.882 -0.687 0.491
Th 4.352 0.460 2.413
Th 3.699 -0.460 7.238
```

---

Here is a relaxed structure of Pr2Sm5DyTh from Alexandria. Energies are from PBE. Values from VASP.

VASP energy, eV per atom: -4.87
D(E_F), states/eV/f.u.: 13.14
Spin magnetization, μB per atom: 0.0000

Cell and atoms, written as Quantum ESPRESSO input:
```
&SYSTEM
  ibrav = 0, nat = 18, ntyp = 4
/
ATOMIC_SPECIES
Pr 140.91 Pr.upf
Sm 150.36 Sm.upf
Dy 162.50 Dy.upf
Th 232.04 Th.upf
CELL_PARAMETERS angstrom
2.858 -10.288 0.000
2.858 10.288 0.000
0.000 0.000 10.597
ATOMIC_POSITIONS angstrom
Pr 2.858 7.913 5.298
Pr 2.858 7.908 0.914
Pr 2.858 -7.908 6.213
Pr 2.858 -7.913 0.000
Sm 2.858 9.967 8.455
Sm 2.858 4.618 5.321
Sm 2.858 4.195 1.186
Sm 2.858 2.319 8.397
Sm 2.858 0.395 0.792
Sm 2.858 -0.395 6.090
Sm 2.858 -2.319 3.098
Sm 2.858 -4.195 6.485
Sm 2.858 -4.618 0.023
Sm 2.858 -9.967 3.156
Dy 2.858 1.922 3.823
Dy 2.858 -1.922 9.121
Th 2.858 6.198 8.527
Th 2.858 -6.198 3.229
```

---

Here is a relaxed structure of Pr4SmDy2Th from Alexandria. Energies are from PBE. Values from VASP.

VASP energy, eV per atom: -5.03
D(E_F), states/eV/f.u.: 11.79
Spin magnetization, μB per atom: 0.0000

Cell and atoms, written as Quantum ESPRESSO input:
```
&SYSTEM
  ibrav = 0, nat = 8, ntyp = 4
/
ATOMIC_SPECIES
Pr 140.91 Pr.upf
Sm 150.36 Sm.upf
Dy 162.50 Dy.upf
Th 232.04 Th.upf
CELL_PARAMETERS angstrom
5.149 0.000 0.000
0.000 5.156 0.000
0.000 0.000 10.325
ATOMIC_POSITIONS angstrom
Pr 0.000 0.000 2.542
Pr 0.000 0.000 7.783
Pr 2.574 2.578 2.554
Pr 2.574 2.578 7.771
Sm 2.574 0.000 5.162
Dy 0.000 2.578 5.162
Dy 2.574 0.000 0.000
Th 0.000 2.578 0.000
```